# ZrAl2Se PBE optimized geometry
data_ZrAl2Se
_space_group_name_H-M_alt 'P 1'
_space_group_IT_number 1
_space_group_name_Hall 'P 1'
_cell_length_a 4.7661
_cell_length_b 4.7661
_cell_length_c 4.7661
_cell_angle_alpha 60.00
_cell_angle_beta 60.00
_cell_angle_gamma 60.00
loop_
_atom_site_label
_atom_site_type_symbol
_atom_site_fract_x
_atom_site_fract_y
_atom_site_fract_z
Se1 Se 0.5000 0.5000 0.5000
Zr1 Zr 0.7500 0.7500 0.7500
Al1 Al 0.0000 0.0000 0.0000
Al2 Al 0.2500 0.2500 0.2500
# Formation energy without anion corrections (eV/atom): -0.08
# Total magnetic moment (μB/f.u.): 0.00
# Volume (Å³ per cell): 76.56
# Electronic total energy (eV/atom): -4.959